DFT (PBEsol) results for a geometry-optimized Ti3Te2Se2 structure.

a b c (Å): 13.595 3.630 6.719
angles (deg): 90.00 117.73 90.00
Space group C2/m (No. 12)
Unique sites:
Ti: 0.000 0.000 0.000 (multiplicity 2)
Ti: 0.247 0.500 0.811 (multiplicity 4)
Te: 0.134 0.500 0.322 (multiplicity 4)
Se: 0.111 0.000 0.780 (multiplicity 4)

Summary:
- E_tot (eV/atom) = -6.6776
- spin magnetization (μB per formula unit) = 0.000

=====

DFT (PBEsol) results for a geometry-optimized TiTe2Se structure.

a b c (Å): 3.4689 3.4689 28.6481
angles (deg): 90.00 90.00 120.00
Space group R-3m (No. 166, hexagonal axes)
Unique sites:
Ti: 0.0000 0.0000 0.0000 (multiplicity 3)
Te: 0.0000 0.0000 0.0917 (multiplicity 6)
Se: 0.0000 0.0000 0.5000 (multiplicity 3)

Summary:
- E_tot (eV/atom) = -4.3354
- spin magnetization (μB per formula unit) = 0.013

=====

DFT (PBEsol) results for a geometry-optimized TlTeSe2 structure.

a b c (Å): 14.171 4.098 4.096
angles (deg): 90.00 106.50 90.00
Space group Cm (No. 8)
Unique sites:
Tl: 0.000 0.000 0.000 (multiplicity 2)
Te: 0.237 0.000 0.242 (multiplicity 2)
Se: 0.218 0.500 0.723 (multiplicity 2)
Se: 0.426 0.000 0.429 (multiplicity 2)

Summary:
- E_tot (eV/atom) = -3.5701
- spin magnetization (μB per formula unit) = 0.000
- distance to the lowest polymorph of the same formula (meV/atom) = 23

=====

DFT (PBEsol) results for a geometry-optimized TlTeSe structure.

a b c (Å): 3.048 3.048 18.112
angles (deg): 90.00 90.00 90.00
Space group I4mm (No. 107)
Unique sites:
Tl: 0.000 0.000 0.000 (multiplicity 2)
Te: 0.000 0.000 0.326 (multiplicity 2)
Se: 0.000 0.000 0.633 (multiplicity 2)

Summary:
- E_tot (eV/atom) = -3.2610
- spin magnetization (μB per formula unit) = 0.000
- distance to the lowest polymorph of the same formula (meV/atom) = 2

=====

DFT (PBEsol) results for a geometry-optimized TlTe2Se structure.

a b c (Å): 7.439 7.439 7.439
angles (deg): 90.00 90.00 90.00
Space group F-43m (No. 216)
Unique sites:
Tl: 0.000 0.000 0.000 (multiplicity 4)
Te: 0.000 0.000 0.500 (multiplicity 4)
Te: 0.250 0.250 0.750 (multiplicity 4)
Se: 0.250 0.250 0.250 (multiplicity 4)

Summary:
- E_tot (eV/atom) = -3.2495
- spin magnetization (μB per formula unit) = 0.000

=====

DFT (PBEsol) results for a geometry-optimized TlTe2Se structure.

a b c (Å): 3.440 4.851 6.320
angles (deg): 90.00 90.00 90.00
Space group Pmmm (No. 47)
Unique sites:
Tl: 0.000 0.000 0.000 (multiplicity 1)
Te: 0.500 0.500 0.273 (multiplicity 2)
Se: 0.000 0.000 0.500 (multiplicity 1)

Summary:
- E_tot (eV/atom) = -3.1885
- spin magnetization (μB per formula unit) = 0.000

=====

DFT (PBEsol) results for a geometry-optimized TlTeSe structure.

a b c (Å): 5.4745 5.4745 3.0551
angles (deg): 90.00 90.00 120.00
Space group P-6m2 (No. 187)
Unique sites:
Tl: 0.0000 0.0000 0.0000 (multiplicity 1)
Te: 0.6667 0.3333 0.5000 (multiplicity 1)
Se: 0.3333 0.6667 0.5000 (multiplicity 1)

Summary:
- E_tot (eV/atom) = -3.2630
- spin magnetization (μB per formula unit) = 0.000
- distance to the lowest polymorph of the same formula (meV/atom) = 0

=====

DFT (PBEsol) results for a geometry-optimized Tl2Te2Se structure.

a b c (Å): 4.178 4.178 18.043
angles (deg): 90.00 90.00 90.00
Space group I4/mmm (No. 139)
Unique sites:
Tl: 0.000 0.000 0.086 (multiplicity 4)
Te: 0.000 0.500 0.250 (multiplicity 4)
Se: 0.000 0.000 0.500 (multiplicity 2)

Summary:
- E_tot (eV/atom) = -3.2986
- spin magnetization (μB per formula unit) = 0.000

=====

DFT (PBEsol) results for a geometry-optimized TlTe2Se structure.

a b c (Å): 3.659 4.020 8.036
angles (deg): 90.00 90.00 90.00
Space group Pmm2 (No. 25)
Unique sites:
Tl: 0.000 0.000 0.000 (multiplicity 1)
Te: 0.500 0.000 0.553 (multiplicity 1)
Te: 0.500 0.500 0.288 (multiplicity 1)
Se: 0.500 0.500 0.797 (multiplicity 1)

Summary:
- E_tot (eV/atom) = -3.4672
- spin magnetization (μB per formula unit) = 0.000

=====

DFT (PBEsol) results for a geometry-optimized TlTe2Se structure.

a b c (Å): 5.971 13.150 2.948
angles (deg): 90.00 90.00 90.00
Space group Cmmm (No. 65)
Unique sites:
Tl: 0.000 0.000 0.000 (multiplicity 2)
Te: 0.250 0.250 0.500 (multiplicity 4)
Se: 0.000 0.500 0.000 (multiplicity 2)

Summary:
- E_tot (eV/atom) = -3.2282
- spin magnetization (μB per formula unit) = 0.001

=====

DFT (PBEsol) results for a geometry-optimized TlTe2Se structure.

a b c (Å): 3.3926 3.3926 33.2794
angles (deg): 90.00 90.00 120.00
Space group R-3m (No. 166, hexagonal axes)
Unique sites:
Tl: 0.0000 0.0000 0.0000 (multiplicity 3)
Te: 0.0000 0.0000 0.4194 (multiplicity 6)
Se: 0.0000 0.0000 0.5000 (multiplicity 3)

Summary:
- E_tot (eV/atom) = -3.2296
- spin magnetization (μB per formula unit) = 0.000

=====

DFT (PBEsol) results for a geometry-optimized TlTeSe structure.

a b c (Å): 7.147 7.147 7.147
angles (deg): 90.00 90.00 90.00
Space group F-43m (No. 216)
Unique sites:
Tl: 0.000 0.000 0.000 (multiplicity 4)
Te: 0.000 0.000 0.500 (multiplicity 4)
Se: 0.250 0.250 0.250 (multiplicity 4)

Summary:
- E_tot (eV/atom) = -3.1313
- spin magnetization (μB per formula unit) = 0.000
- distance to the lowest polymorph of the same formula (meV/atom) = 132

=====

DFT (PBEsol) results for a geometry-optimized TlTe2Se structure.

a b c (Å): 4.5074 4.5074 19.7551
angles (deg): 90.00 90.00 120.00
Space group R3m (No. 160, hexagonal axes)
Unique sites:
Tl: 0.0000 0.0000 0.0000 (multiplicity 3)
Te: 0.0000 0.0000 0.5138 (multiplicity 3)
Te: 0.0000 0.0000 0.7638 (multiplicity 3)
Se: 0.0000 0.0000 0.2520 (multiplicity 3)

Summary:
- E_tot (eV/atom) = -3.4328
- spin magnetization (μB per formula unit) = 0.000

=====

DFT (PBEsol) results for a geometry-optimized TlTe2Se structure.

a b c (Å): 4.342 4.342 6.133
angles (deg): 90.00 90.00 90.00
Space group P4/mmm (No. 123)
Unique sites:
Tl: 0.000 0.000 0.000 (multiplicity 1)
Te: 0.000 0.000 0.500 (multiplicity 1)
Te: 0.500 0.500 0.500 (multiplicity 1)
Se: 0.500 0.500 0.000 (multiplicity 1)

Summary:
- E_tot (eV/atom) = -3.4684
- spin magnetization (μB per formula unit) = 0.000

=====

DFT (PBEsol) results for a geometry-optimized TlTeSe2 structure.

a b c (Å): 3.797 3.839 7.565
angles (deg): 90.00 90.00 90.00
Space group Pmmm (No. 47)
Unique sites:
Tl: 0.000 0.000 0.000 (multiplicity 1)
Te: 0.500 0.000 0.500 (multiplicity 1)
Se: 0.500 0.500 0.240 (multiplicity 2)

Summary:
- E_tot (eV/atom) = -3.5934
- spin magnetization (μB per formula unit) = 0.000
- distance to the lowest polymorph of the same formula (meV/atom) = 0

=====

DFT (PBEsol) results for a geometry-optimized TlTeSe2 structure.

a b c (Å): 4.103 4.103 7.375
angles (deg): 90.00 90.00 90.00
Space group P4mm (No. 99)
Unique sites:
Tl: 0.000 0.000 0.000 (multiplicity 1)
Te: 0.500 0.500 0.497 (multiplicity 1)
Se: 0.000 0.000 0.525 (multiplicity 1)
Se: 0.500 0.500 0.154 (multiplicity 1)

Summary:
- E_tot (eV/atom) = -3.5262
- spin magnetization (μB per formula unit) = 0.000
- distance to the lowest polymorph of the same formula (meV/atom) = 67

=====

DFT (PBEsol) results for a geometry-optimized TlTe2Se structure.

a b c (Å): 12.588 4.471 4.422
angles (deg): 90.00 107.29 90.00
Space group C2/m (No. 12)
Unique sites:
Tl: 0.000 0.000 0.000 (multiplicity 2)
Te: 0.235 0.500 0.737 (multiplicity 4)
Se: 0.000 0.500 0.500 (multiplicity 2)

Summary:
- E_tot (eV/atom) = -3.4773
- spin magnetization (μB per formula unit) = 0.000

=====

DFT (PBEsol) results for a geometry-optimized TlTeSe2 structure.

a b c (Å): 7.333 4.528 6.986
angles (deg): 90.00 110.77 90.00
Space group C2/m (No. 12)
Unique sites:
Tl: 0.000 0.000 0.000 (multiplicity 2)
Te: 0.000 0.500 0.500 (multiplicity 2)
Se: 0.245 0.500 0.275 (multiplicity 4)

Summary:
- E_tot (eV/atom) = -3.5677
- spin magnetization (μB per formula unit) = 0.000
- distance to the lowest polymorph of the same formula (meV/atom) = 26

=====

DFT (PBEsol) results for a geometry-optimized TlTeSe2 structure.

a b c (Å): 5.820 5.821 3.073
angles (deg): 90.00 90.00 90.00
Space group Pmm2 (No. 25)
Unique sites:
Tl: 0.000 0.000 0.000 (multiplicity 1)
Te: 0.500 0.500 0.503 (multiplicity 1)
Se: 0.000 0.500 0.501 (multiplicity 1)
Se: 0.500 0.000 0.505 (multiplicity 1)

Summary:
- E_tot (eV/atom) = -3.5359
- spin magnetization (μB per formula unit) = 0.000
- distance to the lowest polymorph of the same formula (meV/atom) = 57

=====

DFT (PBEsol) results for a geometry-optimized TlTeSe2 structure.

a b c (Å): 4.184 4.182 6.002
angles (deg): 90.00 90.06 90.00
Space group P2/m (No. 10)
Unique sites:
Tl: 0.000 0.000 0.000 (multiplicity 1)
Te: 0.500 0.500 0.500 (multiplicity 1)
Se: 0.000 0.000 0.500 (multiplicity 1)
Se: 0.500 0.500 0.000 (multiplicity 1)

Summary:
- E_tot (eV/atom) = -3.5916
- spin magnetization (μB per formula unit) = 0.000
- distance to the lowest polymorph of the same formula (meV/atom) = 2

=====

DFT (PBEsol) results for a geometry-optimized Tl2TeSe2 structure.

a b c (Å): 7.721 7.721 4.691
angles (deg): 90.00 90.00 90.00
Space group P4/mbm (No. 127)
Unique sites:
Tl: 0.148 0.352 0.000 (multiplicity 4)
Te: 0.000 0.000 0.500 (multiplicity 2)
Se: 0.170 0.670 0.500 (multiplicity 4)

Summary:
- E_tot (eV/atom) = -3.4447
- spin magnetization (μB per formula unit) = 0.000

=====

DFT (PBEsol) results for a geometry-optimized TlTeSe2 structure.

a b c (Å): 3.895 6.007 9.308
angles (deg): 90.00 90.00 90.00
Space group Immm (No. 71)
Unique sites:
Tl: 0.000 0.000 0.000 (multiplicity 2)
Te: 0.000 0.000 0.500 (multiplicity 2)
Se: 0.000 0.500 0.207 (multiplicity 4)

Summary:
- E_tot (eV/atom) = -3.5190
- spin magnetization (μB per formula unit) = 0.000
- distance to the lowest polymorph of the same formula (meV/atom) = 74

=====

DFT (PBEsol) results for a geometry-optimized Tm5TeSe4 structure.

a b c (Å): 4.0066 4.0066 49.3867
angles (deg): 90.00 90.00 120.00
Space group R-3m (No. 166, hexagonal axes)
Unique sites:
Tm: 0.0000 0.0000 0.0000 (multiplicity 3)
Tm: 0.0000 0.0000 0.2062 (multiplicity 6)
Tm: 0.0000 0.0000 0.3985 (multiplicity 6)
Te: 0.0000 0.0000 0.5000 (multiplicity 3)
Se: 0.0000 0.0000 0.0964 (multiplicity 6)
Se: 0.0000 0.0000 0.3011 (multiplicity 6)

Summary:
- E_tot (eV/atom) = -5.9837
- spin magnetization (μB per formula unit) = 0.001

=====

DFT (PBEsol) results for a geometry-optimized Te2WSe structure.

a b c (Å): 3.348 5.100 10.289
angles (deg): 90.00 90.00 90.00
Space group Cmmm (No. 65)
Unique sites:
Te: 0.000 0.000 0.215 (multiplicity 4)
W: 0.000 0.500 0.000 (multiplicity 2)
Se: 0.000 0.500 0.500 (multiplicity 2)

Summary:
- E_tot (eV/atom) = -5.6205
- spin magnetization (μB per formula unit) = 0.000

=====

DFT (PBEsol) results for a geometry-optimized TeW2Se structure.

a b c (Å): 3.106 3.106 7.990
angles (deg): 90.00 90.00 90.00
Space group P4mm (No. 99)
Unique sites:
Te: 0.000 0.000 0.000 (multiplicity 1)
W: 0.000 0.000 0.444 (multiplicity 1)
W: 0.500 0.500 0.214 (multiplicity 1)
Se: 0.500 0.500 0.616 (multiplicity 1)

Summary:
- E_tot (eV/atom) = -8.5696
- spin magnetization (μB per formula unit) = 0.000
- distance to the lowest polymorph of the same formula (meV/atom) = 0

=====

DFT (PBEsol) results for a geometry-optimized Te4W3Se2 structure.

a b c (Å): 3.4148 3.4148 21.4648
angles (deg): 90.00 90.00 120.00
Space group P3m1 (No. 156)
Unique sites:
Te: 0.0000 0.0000 0.0000 (multiplicity 1)
Te: 0.0000 0.0000 0.1723 (multiplicity 1)
Te: 0.3333 0.6667 0.3286 (multiplicity 1)
Te: 0.3333 0.6667 0.5009 (multiplicity 1)
W: 0.0000 0.0000 0.4148 (multiplicity 1)
W: 0.3333 0.6667 0.0860 (multiplicity 1)
W: 0.3333 0.6667 0.7284 (multiplicity 1)
Se: 0.0000 0.0000 0.6526 (multiplicity 1)
Se: 0.0000 0.0000 0.8041 (multiplicity 1)

Summary:
- E_tot (eV/atom) = -7.2477
- spin magnetization (μB per formula unit) = 0.000
- distance to the lowest polymorph of the same formula (meV/atom) = 0

=====

DFT (PBEsol) results for a geometry-optimized TeW2Se structure.

a b c (Å): 8.350 3.136 5.447
angles (deg): 90.00 102.44 90.00
Space group C2/m (No. 12)
Unique sites:
Te: 0.000 0.000 0.000 (multiplicity 2)
W: 0.248 0.000 0.717 (multiplicity 4)
Se: 0.000 0.500 0.500 (multiplicity 2)

Summary:
- E_tot (eV/atom) = -8.1985
- spin magnetization (μB per formula unit) = 0.000
- distance to the lowest polymorph of the same formula (meV/atom) = 371

=====

DFT (PBEsol) results for a geometry-optimized Te2WSe structure.

a b c (Å): 3.4486 3.4486 25.6435
angles (deg): 90.00 90.00 120.00
Space group R-3m (No. 166, hexagonal axes)
Unique sites:
Te: 0.0000 0.0000 0.2401 (multiplicity 6)
W: 0.0000 0.0000 0.5000 (multiplicity 3)
Se: 0.0000 0.0000 0.0000 (multiplicity 3)

Summary:
- E_tot (eV/atom) = -5.9140
- spin magnetization (μB per formula unit) = 0.001

=====

DFT (PBEsol) results for a geometry-optimized Te4W3Se2 structure.

a b c (Å): 3.4148 3.4148 21.5288
angles (deg): 90.00 90.00 120.00
Space group P-6m2 (No. 187)
Unique sites:
Te: 0.0000 0.0000 0.1008 (multiplicity 2)
Te: 0.0000 0.0000 0.2725 (multiplicity 2)
W: 0.0000 0.0000 0.5000 (multiplicity 1)
W: 0.3333 0.6667 0.1866 (multiplicity 2)
Se: 0.3333 0.6667 0.4245 (multiplicity 2)

Summary:
- E_tot (eV/atom) = -7.2447
- spin magnetization (μB per formula unit) = 0.000
- distance to the lowest polymorph of the same formula (meV/atom) = 3